Record 1
Ba2CdTcP after structural relaxation. Source: the Alexandria database, functional PBE.

## Properties
Formation enthalpy at 0 K, meV per atom: -116.2
Symmetry: P4/mmm

abc: 6.2388 6.2388 4.4946
angles: 90.00 90.00 90.00
Last column: nearest neighbours and their distance in Å.
Fractional positions:
1 Ba 0.0000 0.5000 0.0000  2 P 3.12
2 Ba 0.5000 0.0000 0.0000  2 P 3.12
3 Cd 0.0000 0.0000 0.5000  8 Ba 3.84
4 Tc 0.5000 0.5000 0.5000  2 P 2.25
5 P 0.5000 0.5000 0.0000  2 Tc 2.25


Record 2
Ba2PaCdS6 after structural relaxation. Source: the Alexandria database, functional PBE.

## Properties
ΔE_f (raw), eV per atom: -1.460
Symmetry: P2_1/c

abc: 7.1881 7.5301 12.3289
angles: 90.00 124.00 90.00
Last column: nearest neighbours and their distance in Å.
Fractional positions:
1 Ba 0.2226 0.0691 0.2460  7 S 3.21-3.47
2 Ba 0.2226 0.4309 0.7460  7 S 3.21-3.47
3 Ba 0.7774 0.5691 0.2540  7 S 3.21-3.47
4 Ba 0.7774 0.9309 0.7540  7 S 3.21-3.47
5 Pa 0.5000 0.0000 0.0000  6 S 2.61-2.64
6 Pa 0.5000 0.5000 0.5000  6 S 2.61-2.64
7 Cd 0.0000 0.0000 0.5000  6 S 2.65-2.74
8 Cd 0.0000 0.5000 0.0000  6 S 2.65-2.74
9 S 0.1655 0.1983 0.9590  1 Pa 2.63, 1 Cd 2.74
10 S 0.1655 0.3017 0.4590  1 Pa 2.63, 1 Cd 2.74
11 S 0.2615 0.7111 0.9577  1 Pa 2.64, 1 Cd 2.73
12 S 0.2615 0.7889 0.4577  1 Pa 2.64, 1 Cd 2.73
13 S 0.3361 0.0148 0.7503  1 Pa 2.61, 1 Cd 2.65
14 S 0.3361 0.4852 0.2503  1 Pa 2.61, 1 Cd 2.65
15 S 0.6639 0.5148 0.7497  1 Pa 2.61, 1 Cd 2.65
16 S 0.6639 0.9852 0.2497  1 Pa 2.61, 1 Cd 2.65
17 S 0.7385 0.2111 0.5423  1 Pa 2.64, 1 Cd 2.73
18 S 0.7385 0.2889 0.0423  1 Pa 2.64, 1 Cd 2.73
19 S 0.8345 0.6983 0.5410  1 Pa 2.63, 1 Cd 2.74
20 S 0.8345 0.8017 0.0410  1 Pa 2.63, 1 Cd 2.74


Record 3
Ba2PaCdS5 after structural relaxation. Source: the Alexandria database, functional PBE.

## Properties
ΔE_f (raw), eV per atom: -1.626
Symmetry: Cmc2_1

abc: 9.3264 9.3264 13.0624
angles: 90.00 90.00 153.94
Last column: nearest neighbours and their distance in Å.
Fractional positions:
1 Ba 0.1091 0.8909 0.5000  6 S 3.15-3.49
2 Ba 0.1278 0.8722 0.1253  7 S 3.12-3.35
3 Ba 0.8722 0.1278 0.6253  7 S 3.12-3.35
4 Ba 0.8909 0.1091 0.0000  6 S 3.15-3.49
5 Pa 0.2082 0.7918 0.8296  6 S 2.66-2.79
6 Pa 0.7918 0.2082 0.3296  6 S 2.66-2.79
7 Cd 0.4532 0.5468 0.2631  3 S 2.46-2.54
8 Cd 0.5468 0.4532 0.7631  3 S 2.46-2.54
9 S 0.0591 0.9409 0.8714  2 Cd 2.54, 1 Pa 2.76
10 S 0.2860 0.7140 0.4666  2 Pa 2.76
11 S 0.3064 0.6936 0.1904  2 Pa 2.79, 1 Cd 2.83
12 S 0.3542 0.6458 0.8171  1 Pa 2.66
13 S 0.4965 0.5035 0.5882  1 Cd 2.46
14 S 0.5035 0.4965 0.0882  1 Cd 2.46
15 S 0.6458 0.3542 0.3171  1 Pa 2.66
16 S 0.6936 0.3064 0.6904  2 Pa 2.79, 1 Cd 2.83
17 S 0.7140 0.2860 0.9666  2 Pa 2.76
18 S 0.9409 0.0591 0.3714  2 Cd 2.54, 1 Pa 2.76


Record 4
Ba2PaCd2Sb4 after structural relaxation. Source: the Alexandria database, functional PBE.

## Properties
ΔE_f (raw), eV per atom: -0.639
Symmetry: C2/m

abc: 8.6498 8.6498 8.2661
angles: 109.18 109.18 31.02
Last column: nearest neighbours and their distance in Å.
Fractional positions:
1 Ba 0.1306 0.1306 0.0840  7 Sb 3.59-3.70, 3 Cd 3.92-3.93
2 Ba 0.8694 0.8694 0.9160  7 Sb 3.59-3.70, 3 Cd 3.92-3.93
3 Pa 0.0000 0.0000 0.5000  6 Sb 3.14-3.20
4 Cd 0.3280 0.3280 0.5129  4 Sb 2.87-3.09
5 Cd 0.6720 0.6720 0.4871  4 Sb 2.87-3.09
6 Sb 0.2004 0.2004 0.7100  3 Cd 2.89-3.09, 1 Pa 3.20
7 Sb 0.4986 0.4986 0.7564  1 Cd 2.87, 2 Pa 3.14
8 Sb 0.5014 0.5014 0.2436  1 Cd 2.87, 2 Pa 3.14
9 Sb 0.7996 0.7996 0.2900  3 Cd 2.89-3.09, 1 Pa 3.20


Record 5
Ba2PaCdSe5 after structural relaxation. Source: the Alexandria database, functional PBE.

## Properties
ΔE_f (raw), eV per atom: -1.523
Symmetry: Cmc2_1

abc: 9.7354 9.7354 13.5192
angles: 90.00 90.00 154.05
Last column: nearest neighbours and their distance in Å.
Fractional positions:
1 Ba 0.1108 0.8892 0.5000  6 Se 3.28-3.63
2 Ba 0.1262 0.8738 0.1284  7 Se 3.25-3.49
3 Ba 0.8738 0.1262 0.6284  7 Se 3.25-3.49
4 Ba 0.8892 0.1108 0.0000  6 Se 3.28-3.63
5 Pa 0.2068 0.7932 0.8303  6 Se 2.80-2.93
6 Pa 0.7932 0.2068 0.3303  6 Se 2.80-2.93
7 Cd 0.4491 0.5509 0.2596  3 Se 2.58-2.67
8 Cd 0.5509 0.4491 0.7596  3 Se 2.58-2.67
9 Se 0.0572 0.9428 0.8722  2 Cd 2.67, 1 Pa 2.89
10 Se 0.2876 0.7124 0.4705  2 Pa 2.89
11 Se 0.3053 0.6947 0.1866  1 Cd 2.90, 2 Pa 2.93
12 Se 0.3542 0.6458 0.8180  1 Pa 2.80
13 Se 0.4968 0.5032 0.5843  1 Cd 2.58
14 Se 0.5032 0.4968 0.0843  1 Cd 2.58
15 Se 0.6458 0.3542 0.3180  1 Pa 2.80
16 Se 0.6947 0.3053 0.6866  1 Cd 2.90, 2 Pa 2.93
17 Se 0.7124 0.2876 0.9705  2 Pa 2.89
18 Se 0.9428 0.0572 0.3722  2 Cd 2.67, 1 Pa 2.89


Record 6
Ba2PaCdTe5 after structural relaxation. Source: the Alexandria database, functional PBE.

## Properties
ΔE_f (raw), eV per atom: -1.169
Symmetry: Cmc2_1

abc: 10.4301 10.4301 14.3079
angles: 90.00 90.00 154.33
Last column: nearest neighbours and their distance in Å.
Fractional positions:
1 Ba 0.1137 0.8863 0.5000  8 Te 3.50-3.89
2 Ba 0.1244 0.8756 0.1292  7 Te 3.47-3.71
3 Ba 0.8756 0.1244 0.6292  7 Te 3.47-3.71
4 Ba 0.8863 0.1137 0.0000  8 Te 3.50-3.89
5 Pa 0.2042 0.7958 0.8291  6 Te 3.04-3.16
6 Pa 0.7958 0.2042 0.3291  6 Te 3.04-3.16
7 Cd 0.4425 0.5575 0.2550  4 Te 2.77-3.02
8 Cd 0.5575 0.4425 0.7550  4 Te 2.77-3.02
9 Te 0.0545 0.9455 0.8710  2 Cd 2.85, 1 Pa 3.10
10 Te 0.2901 0.7099 0.4735  2 Pa 3.11
11 Te 0.3036 0.6964 0.1796  1 Cd 3.02, 2 Pa 3.16
12 Te 0.3536 0.6464 0.8177  1 Pa 3.04
13 Te 0.4979 0.5021 0.5806  1 Cd 2.77
14 Te 0.5021 0.4979 0.0806  1 Cd 2.77
15 Te 0.6464 0.3536 0.3177  1 Pa 3.04
16 Te 0.6964 0.3036 0.6796  1 Cd 3.02, 2 Pa 3.16
17 Te 0.7099 0.2901 0.9735  2 Pa 3.11
18 Te 0.9455 0.0545 0.3710  2 Cd 2.85, 1 Pa 3.10


Record 7
BaCd4Pb4 after structural relaxation. Source: the Alexandria database, functional PBE.

## Properties
Formation enthalpy at 0 K, meV per atom: -98.0
Symmetry: P4_2/nmc

abc: 7.2673 7.2673 10.9376
angles: 90.00 90.00 90.00
Last column: nearest neighbours and their distance in Å.
Fractional positions:
1 Ba 0.2500 0.7500 0.2500  12 Cd 4.04-4.43, 8 Pb 4.14
2 Ba 0.7500 0.2500 0.7500  12 Cd 4.04-4.43, 8 Pb 4.14
3 Cd 0.0470 0.2500 0.0618  1 Cd 2.95, 5 Pb 3.08-3.19
4 Cd 0.2500 0.0470 0.5618  1 Cd 2.95, 5 Pb 3.08-3.19
5 Cd 0.2500 0.4530 0.5618  1 Cd 2.95, 5 Pb 3.08-3.19
6 Cd 0.4530 0.2500 0.0618  1 Cd 2.95, 5 Pb 3.08-3.19
7 Cd 0.5470 0.7500 0.9382  1 Cd 2.95, 5 Pb 3.08-3.19
8 Cd 0.7500 0.5470 0.4382  1 Cd 2.95, 5 Pb 3.08-3.19
9 Cd 0.7500 0.9530 0.4382  1 Cd 2.95, 5 Pb 3.08-3.19
10 Cd 0.9530 0.7500 0.9382  1 Cd 2.95, 5 Pb 3.08-3.19
11 Pb 0.0228 0.2500 0.3519  5 Cd 3.08-3.19, 1 Pb 3.30
12 Pb 0.2500 0.0228 0.8519  5 Cd 3.08-3.19, 1 Pb 3.30
13 Pb 0.2500 0.4772 0.8519  5 Cd 3.08-3.19, 1 Pb 3.30
14 Pb 0.4772 0.2500 0.3519  5 Cd 3.08-3.19, 1 Pb 3.30
15 Pb 0.5228 0.7500 0.6481  5 Cd 3.08-3.19, 1 Pb 3.30
16 Pb 0.7500 0.5228 0.1481  5 Cd 3.08-3.19, 1 Pb 3.30
17 Pb 0.7500 0.9772 0.1481  5 Cd 3.08-3.19, 1 Pb 3.30
18 Pb 0.9772 0.7500 0.6481  5 Cd 3.08-3.19, 1 Pb 3.30


Record 8
Ba5Cd2Pb5 after structural relaxation. Source: the Alexandria database, functional PBE.

## Properties
Formation enthalpy at 0 K, meV per atom: -475.8
Symmetry: C2/m

abc: 9.6789 9.6789 11.3186
angles: 124.46 124.46 32.01
Last column: nearest neighbours and their distance in Å.
Fractional positions:
1 Ba 0.0000 0.0000 0.0000  6 Pb 3.52-3.94, 4 Cd 3.55
2 Ba 0.1382 0.1382 0.4466  1 Cd 3.70, 7 Pb 3.71-3.99, 1 Ba 4.11
3 Ba 0.1539 0.1539 0.8407  5 Pb 3.62-3.96, 1 Cd 3.71
4 Ba 0.8461 0.8461 0.1593  5 Pb 3.62-3.96, 1 Cd 3.71
5 Ba 0.8618 0.8618 0.5534  1 Cd 3.70, 7 Pb 3.71-3.99, 1 Ba 4.11
6 Cd 0.3462 0.3462 0.8216  4 Pb 3.13-3.38
7 Cd 0.6538 0.6538 0.1784  4 Pb 3.13-3.38
8 Pb 0.2620 0.2620 0.2647  2 Cd 3.13
9 Pb 0.4880 0.4880 0.1907  2 Cd 3.17-3.38, 1 Pb 3.37, 2 Ba 3.52
10 Pb 0.5000 0.5000 0.5000  4 Pb 3.37-3.58
11 Pb 0.5120 0.5120 0.8093  2 Cd 3.17-3.38, 1 Pb 3.37, 2 Ba 3.52
12 Pb 0.7380 0.7380 0.7353  2 Cd 3.13


Record 9
Ba2CdPb after structural relaxation. Source: the Alexandria database, functional PBE.

## Properties
Energy above the lowest structure with this stoichiometry, meV/atom: 308
Formation enthalpy at 0 K, meV per atom: -182.9
Symmetry: F-43m

abc: 8.4681 8.4681 8.4681
angles: 90.00 90.00 90.00
Last column: nearest neighbours and their distance in Å.
Fractional positions:
1 Ba 0.0000 0.0000 0.0000  4 Ba 3.67, 4 Pb 3.67
2 Ba 0.0000 0.5000 0.5000  4 Ba 3.67, 4 Pb 3.67
3 Ba 0.2500 0.2500 0.2500  4 Cd 3.67, 4 Ba 3.67
4 Ba 0.2500 0.7500 0.7500  4 Cd 3.67, 4 Ba 3.67
5 Ba 0.5000 0.0000 0.5000  4 Ba 3.67, 4 Pb 3.67
6 Ba 0.5000 0.5000 0.0000  4 Ba 3.67, 4 Pb 3.67
7 Ba 0.7500 0.2500 0.7500  4 Cd 3.67, 4 Ba 3.67
8 Ba 0.7500 0.7500 0.2500  4 Cd 3.67, 4 Ba 3.67
9 Cd 0.0000 0.0000 0.5000  4 Ba 3.67, 4 Pb 3.67
10 Cd 0.0000 0.5000 0.0000  4 Ba 3.67, 4 Pb 3.67
11 Cd 0.5000 0.0000 0.0000  4 Ba 3.67, 4 Pb 3.67
12 Cd 0.5000 0.5000 0.5000  4 Ba 3.67, 4 Pb 3.67
13 Pb 0.2500 0.2500 0.7500  4 Cd 3.67, 4 Ba 3.67
14 Pb 0.2500 0.7500 0.2500  4 Cd 3.67, 4 Ba 3.67
15 Pb 0.7500 0.2500 0.2500  4 Cd 3.67, 4 Ba 3.67
16 Pb 0.7500 0.7500 0.7500  4 Cd 3.67, 4 Ba 3.67